Density functional theory data (GGA-PBE) for a relaxed Tl2CdBiTe4 crystal.

a b c (Å): 8.6190 8.6190 7.3383
angles (deg): 90.00 90.00 90.00
Closest atoms and distances in Å follow each position.
Space group I-42m (No. 121)
Asymmetric unit:
Tl 0.0000 0.5000 0.0000 (multiplicity 4)  8 Te 3.60-3.67, 2 Tl 3.67
Cd 0.0000 0.0000 0.0000 (multiplicity 2)  4 Te 2.91
Bi 0.0000 0.0000 0.5000 (multiplicity 2)  4 Te 3.00
Te 0.1899 0.1899 0.7590 (multiplicity 8)  1 Cd 2.91, 1 Bi 3.00

Properties
Formation energy without anion corrections ... -172 kJ/mol of formula units
Raw total energy ... -2.985 eV/atom


Density functional theory data (GGA-PBE) for a relaxed ZnCdBi2Te crystal.

a b c (Å): 5.9469 5.9469 5.6920
angles (deg): 90.00 90.00 90.00
Closest atoms and distances in Å follow each position.
Space group P4/mmm (No. 123)
Asymmetric unit:
Zn 0.0000 0.0000 0.0000 (multiplicity 1)  8 Bi 4.12, 4 Cd 4.21
Cd 0.5000 0.5000 0.0000 (multiplicity 1)  2 Te 2.85
Bi 0.0000 0.5000 0.5000 (multiplicity 2)  2 Te 2.97
Te 0.5000 0.5000 0.5000 (multiplicity 1)  2 Cd 2.85, 4 Bi 2.97

Properties
Formation energy without anion corrections ... 334 kJ/mol of formula units
Raw total energy ... -1.925 eV/atom


Density functional theory data (GGA-PBE) for a relaxed ThCdBi2 crystal.

a b c (Å): 5.2492 5.2492 15.1425
angles (deg): 90.00 90.00 120.00
Closest atoms and distances in Å follow each position.
Space group R-3m (No. 166, hexagonal axes)
Asymmetric unit:
Th 0.0000 0.0000 0.0000 (multiplicity 3)  8 Bi 3.39-3.53
Cd 0.0000 0.0000 0.5000 (multiplicity 3)  6 Bi 3.19
Bi 0.0000 0.0000 0.2331 (multiplicity 6)  3 Cd 3.19, 4 Th 3.39-3.53

Properties
ΔE_f ... -0.1424 eV per atom
Raw total energy ... -4.167 eV/atom